one.
{
  "formula": "Cd2MoSe",
  "functional": "SCAN",
  "state": "PBEsol geometry",
  "cell": [[-2.2666, 2.1283, -0.7464], [-2.8231, -3.2379, -0.6596], [-0.3592, -0.8250, 5.5873]],
  "species": ["Cd", "Cd", "Se", "Mo"],
  "frac_coords": [[0.0730, 0.0000, 0.1460], [0.4299, 0.5000, 0.8599], [0.7030, 0.5000, 0.4059], [0.8109, 0.0000, 0.6218]],
  "sg": "No. 38",
  "density_g_cm3": 8.8
}



two.
{
  "formula": "Cd2MoSe",
  "functional": "SCAN",
  "state": "PBEsol geometry",
  "cell": [[4.8395, 0.0000, 0.0000], [2.4197, 4.1911, 0.0000], [2.4197, 1.3970, 3.9514]],
  "species": ["Mo", "Se", "Cd", "Cd"],
  "frac_coords": [[0.0000, 0.0000, 0.0000], [0.5000, 0.5000, 0.5000], [0.2500, 0.2500, 0.2500], [0.7500, 0.7500, 0.7500]],
  "sg": "No. 225",
  "density_g_cm3": 8.3
}



three.
{
  "formula": "Cd2MoSe",
  "functional": "SCAN",
  "state": "PBEsol geometry",
  "cell": [[4.7004, 0.0000, 0.0000], [2.3502, 4.0706, 0.0000], [2.3502, 1.3569, 3.8378]],
  "species": ["Mo", "Se", "Cd", "Cd"],
  "frac_coords": [[0.5000, 0.5000, 0.5000], [0.2500, 0.2500, 0.2500], [0.0000, 0.0000, 0.0000], [0.7500, 0.7500, 0.7500]],
  "sg": "No. 216",
  "density_g_cm3": 9.0
}



Most stable structure, least stable structure: one, two.



one.
{
  "formula": "SrCd2Mo",
  "functional": "SCAN",
  "state": "PBEsol geometry",
  "cell": [[-2.6572, -0.3821, -1.3747], [-0.3921, -4.9252, 2.1269], [-2.3328, 3.2342, 3.6101]],
  "species": ["Mo", "Cd", "Cd", "Sr"],
  "frac_coords": [[0.5000, 0.5000, 0.5000], [0.0000, 0.0000, 0.5000], [0.0000, 0.5000, 0.0000], [0.5000, 0.0000, 0.0000]],
  "sg": "No. 65",
  "density_g_cm3": 8.0
}



two.
{
  "formula": "SrCd2Mo",
  "functional": "SCAN",
  "state": "PBEsol geometry",
  "cell": [[-1.6682, 1.2822, 2.2113], [1.0407, 0.0390, 2.8691], [4.4652, 9.6625, -0.1275]],
  "species": ["Cd", "Cd", "Mo", "Sr"],
  "frac_coords": [[0.7590, 0.7590, 0.7231], [0.2410, 0.2410, 0.2769], [0.5000, 0.5000, 0.5000], [0.0000, 0.0000, 0.0000]],
  "sg": "No. 166",
  "density_g_cm3": 8.0
}



three.
{
  "formula": "SrCd2Mo",
  "functional": "SCAN",
  "state": "PBEsol geometry",
  "cell": [[-2.0453, -1.5585, -1.2740], [3.4061, -0.8393, -4.4415], [0.4480, -4.0455, 4.2295]],
  "species": ["Cd", "Cd", "Mo", "Sr"],
  "frac_coords": [[0.5000, 0.0000, 0.5000], [0.0000, 0.0000, 0.0000], [0.5000, 0.5000, 0.0000], [0.0000, 0.5000, 0.5000]],
  "sg": "No. 10",
  "density_g_cm3": 7.8
}



Most stable structure, least stable structure: one, three.



one.
{
  "formula": "SrCdMo2",
  "functional": "SCAN",
  "state": "PBEsol geometry",
  "cell": [[3.0563, 0.0000, 0.0000], [-1.5281, 4.2514, 0.0106], [0.0000, -0.8615, 6.9420]],
  "species": ["Sr", "Cd", "Mo", "Mo"],
  "frac_coords": [[0.4997, 0.9994, 0.5184], [0.7372, 0.4745, 0.1893], [0.9940, 0.9880, 0.9583], [0.2690, 0.5381, 0.8340]],
  "sg": "No. 8",
  "density_g_cm3": 7.2
}



two.
{
  "formula": "SrCdMo2",
  "functional": "SCAN",
  "state": "PBEsol geometry",
  "cell": [[3.2750, 0.0000, 0.0000], [0.0000, 3.2804, -0.0059], [0.0000, -0.2942, 7.9698]],
  "species": ["Sr", "Cd", "Mo", "Mo"],
  "frac_coords": [[0.0000, 0.9808, 0.4837], [0.5000, 0.5035, 0.8011], [0.0000, 0.0343, 0.0336], [0.5000, 0.4814, 0.1815]],
  "sg": "No. 6",
  "density_g_cm3": 7.6
}



Most stable structure, least stable structure: two, one.



one.
{
  "formula": "ZnCdMo2",
  "functional": "SCAN",
  "state": "PBEsol geometry",
  "cell": [[-0.2199, 2.2854, 2.6134], [-3.6558, 1.1044, -1.2734], [-1.8512, -3.1406, 2.5908]],
  "species": ["Cd", "Zn", "Mo", "Mo"],
  "frac_coords": [[0.0000, 0.5000, 0.5000], [0.5000, 0.0000, 0.5000], [0.5000, 0.5000, 0.0000], [0.0000, 0.0000, 0.0000]],
  "sg": "No. 47",
  "density_g_cm3": 9.8
}



two.
{
  "formula": "ZnCdMo2",
  "functional": "SCAN",
  "state": "PBEsol geometry",
  "cell": [[-2.2129, -1.3709, 0.5830], [3.6948, -2.9016, 1.0982], [-0.1604, 2.2285, 4.6318]],
  "species": ["Cd", "Mo", "Mo", "Zn"],
  "frac_coords": [[0.7514, 0.5028, 0.2662], [0.0021, 0.0043, 0.9741], [0.2445, 0.4889, 0.7642], [0.5020, 0.0041, 0.4954]],
  "sg": "No. 8",
  "density_g_cm3": 9.7
}



three.
{
  "formula": "ZnCdMo2",
  "functional": "SCAN",
  "state": "PBEsol geometry",
  "cell": [[2.6787, 0.0249, 0.0000], [-0.4192, 2.6459, 0.0000], [0.0000, 0.0000, 8.8181]],
  "species": ["Mo", "Mo", "Cd", "Zn"],
  "frac_coords": [[0.0000, 0.0000, 0.2658], [0.0000, 0.0000, 0.7342], [0.5000, 0.5000, 0.0000], [0.5000, 0.5000, 0.5000]],
  "sg": "No. 65",
  "density_g_cm3": 9.8
}



four.
{
  "formula": "ZnCdMo2",
  "functional": "SCAN",
  "state": "PBEsol geometry",
  "cell": [[-1.2554, -0.7643, 2.2432], [-2.0518, -0.9196, -1.4617], [3.8399, -7.7734, -0.4996]],
  "species": ["Zn", "Cd", "Mo", "Mo"],
  "frac_coords": [[0.5000, 0.5000, 0.0000], [0.5000, 0.5000, 0.5000], [0.0000, 0.0000, 0.2339], [0.0000, 0.0000, 0.7661]],
  "sg": "No. 123",
  "density_g_cm3": 9.8
}



Most stable structure, least stable structure: three, two.



one.
{
  "formula": "SrCdSe2N",
  "functional": "SCAN",
  "state": "PBEsol geometry",
  "cell": [[4.6993, 0.0000, 0.0000], [0.0000, 5.7050, 0.0000], [0.0000, 0.0000, 5.7050]],
  "species": ["Se", "Se", "N", "Sr", "Cd"],
  "frac_coords": [[0.0000, 0.0000, 0.5000], [0.0000, 0.5000, 0.0000], [0.5000, 0.0000, 0.0000], [0.0000, 0.0000, 0.0000], [0.5000, 0.5000, 0.5000]],
  "sg": "No. 123",
  "density_g_cm3": 4.0
}



two.
{
  "formula": "SrCdSe2N",
  "functional": "SCAN",
  "state": "PBEsol geometry",
  "cell": [[-1.2320, -3.9269, -0.9900], [1.1537, -1.6041, 4.9267], [-4.9456, 1.1641, 1.5371]],
  "species": ["Cd", "Se", "Se", "Sr", "N"],
  "frac_coords": [[0.0000, 0.0000, 0.0000], [0.0000, 0.5000, 0.0000], [0.0000, 0.0000, 0.5000], [0.5000, 0.5000, 0.5000], [0.5000, 0.0000, 0.0000]],
  "sg": "No. 123",
  "density_g_cm3": 5.2
}



Most stable structure, least stable structure: two, one.



one.
{
  "formula": "CdSi3N",
  "functional": "SCAN",
  "state": "PBEsol geometry",
  "cell": [[-2.5346, -3.1917, -0.7500], [2.0779, -0.8305, -3.4881], [2.5361, -2.5094, 2.1083]],
  "species": ["Si", "Si", "Si", "N", "Cd"],
  "frac_coords": [[0.0000, 0.0000, 0.5000], [0.0000, 0.5000, 0.0000], [0.5000, 0.0000, 0.0000], [0.0000, 0.0000, 0.0000], [0.5000, 0.5000, 0.5000]],
  "sg": "No. 221",
  "density_g_cm3": 4.9
}



two.
{
  "formula": "CdSi3N",
  "functional": "SCAN",
  "state": "PBEsol geometry",
  "cell": [[-1.0019, -3.9521, 2.7165], [3.8054, -2.3440, -2.0066], [2.9183, 1.6997, 3.5491]],
  "species": ["Si", "Si", "Si", "Cd", "N"],
  "frac_coords": [[0.0000, 0.0000, 0.5000], [0.0000, 0.5000, 0.0000], [0.5000, 0.0000, 0.0000], [0.0000, 0.0000, 0.0000], [0.5000, 0.5000, 0.5000]],
  "sg": "No. 221",
  "density_g_cm3": 3.0
}



Most stable structure, least stable structure: one, two.